1.
# SiBiAu3

Crystalline SiBiAu3 at its relaxed geometry (PBE, Alexandria via LeMat-Bulk).

extended XYZ file:
```
10
Lattice="6.332 0.000 0.000 0.000 6.081 0.001 0.000 -0.002 5.814" Properties=species:S:1:pos:R:3 pbc="T T T"
Au 5.614 3.897 2.598
Au 3.118 0.571 1.167
Au 2.448 4.327 2.644
Au 6.284 1.572 4.074
Au 5.614 3.896 5.551
Au 2.448 4.326 5.505
Si 3.840 2.847 1.168
Si 0.674 5.377 4.075
Bi 3.205 1.770 4.074
Bi 0.039 0.374 1.168
```

Properties
For the uncorrected formation energy, the calculation gives 0.013 eV per atom. The value obtained for the density of states at the Fermi level is 3.738 states/eV per cell. For the total DFT energy (no corrections), the calculation gives -3.8144 eV/atom. For the excess energy over the best structure of this formula in the dataset, the calculation gives 0.019 eV per atom. As for the magnetic moment: 0.00 μB per formula unit.



2.
# SiBi3Au8

Crystalline SiBi3Au8 at its relaxed geometry (PBE, Alexandria via LeMat-Bulk).

extended XYZ file:
```
24
Lattice="6.336 0.000 0.000 0.000 8.327 -4.808 0.000 0.000 9.615" Properties=species:S:1:pos:R:3 pbc="T T T"
Au 0.829 5.551 0.000
Au 3.997 2.776 4.808
Au 3.211 4.266 2.227
Au 3.211 4.266 -2.227
Au 0.043 4.061 2.581
Au 0.043 4.061 7.034
Au 1.841 4.765 4.808
Au 5.009 6.546 1.723
Au 1.841 1.781 6.530
Au 3.189 0.000 0.000
Au 5.009 3.562 0.000
Au 1.841 1.781 3.085
Au 3.211 8.122 0.000
Au 5.009 6.546 -1.723
Au 0.043 0.205 4.808
Au 0.021 0.000 0.000
Bi 1.542 2.555 0.000
Bi 4.710 1.277 7.403
Bi 4.710 1.277 2.213
Bi 4.710 5.772 4.808
Bi 1.542 7.049 -2.595
Bi 1.542 7.049 2.595
Si 0.106 2.776 4.808
Si 3.274 5.551 0.000
```

Properties
For the uncorrected formation energy, the calculation gives 0.007 eV per atom. The value obtained for the density of states at the Fermi level is 2.029 states/eV per cell. For the total DFT energy (no corrections), the calculation gives -3.6005 eV/atom. As for the magnetic moment: 0.00 μB per formula unit.



3.
# SiBiAu2

Crystalline SiBiAu2 at its relaxed geometry (PBE, Alexandria via LeMat-Bulk).

extended XYZ file:
```
4
Lattice="4.066 0.000 0.000 2.033 3.521 0.000 2.033 1.174 6.044" Properties=species:S:1:pos:R:3 pbc="T T T"
Au 2.033 1.174 1.106
Au 6.099 3.521 4.938
Si 0.000 0.000 0.000
Bi 4.066 2.347 3.022
```

Properties
For the uncorrected formation energy, the calculation gives 0.034 eV per atom. The value obtained for the density of states at the Fermi level is 1.623 states/eV per cell. For the total DFT energy (no corrections), the calculation gives -3.9310 eV/atom. For the excess energy over the best structure of this formula in the dataset, the calculation gives 0.000 eV per atom. As for the magnetic moment: 0.00 μB per formula unit.



4.
# SiBiAu3

Crystalline SiBiAu3 at its relaxed geometry (PBE, Alexandria via LeMat-Bulk).

extended XYZ file:
```
5
Lattice="4.846 0.000 0.000 0.000 4.846 0.000 0.000 0.000 4.846" Properties=species:S:1:pos:R:3 pbc="T T T"
Bi 2.423 2.423 2.423
Si 0.000 0.000 0.000
Au 2.423 0.000 0.000
Au 0.000 0.000 2.423
Au 0.000 2.423 0.000
```

Properties
For the uncorrected formation energy, the calculation gives 0.241 eV per atom. The value obtained for the density of states at the Fermi level is 4.366 states/eV per cell. For the total DFT energy (no corrections), the calculation gives -3.5863 eV/atom. For the excess energy over the best structure of this formula in the dataset, the calculation gives 0.247 eV per atom. As for the magnetic moment: 0.00 μB per formula unit.